A geometry-optimized CrSNO2 structure, computed with PBE+U.

As for the total energy: -27.096 eV for the cell shown. The value obtained for the volume is 54.3 Å³/cell. The density of states at the Fermi level comes out at 0.55 states/eV/atom.

The space group is P4/mmm (No. 123) and the conventional cell measures 3.569, 3.569 and 4.260 Å, with angles of 90.00, 90.00 and 90.00 degrees. The inequivalent atoms are Cr at (0.000, 0.000, 0.000), S at (0.500, 0.500, 0.500), N at (0.000, 0.000, 0.500) and O at (0.000, 0.500, 0.000).